No. 1
# AgAsRuBr2

A relaxed AgAsRuBr2 crystal (GGA-PBE, the Alexandria database).

## Properties
* raw total energy: -2.844 eV per atom
* N(E_F): 5.391 states/eV/f.u.
* energy above the lowest structure with this stoichiometry: 810 meV per atom

a b c (Å): 5.2696 5.2696 5.0911
angles (deg): 90.00 90.00 90.00
Fractional coordinates of all 5 atoms:
Ag1 0.0000 0.0000 0.0000
As1 0.0000 0.0000 0.5000
Ru1 0.5000 0.5000 0.5000
Br1 0.0000 0.5000 0.0000
Br2 0.5000 0.0000 0.0000

***

No. 2
# AgAsS2Br

A relaxed AgAsS2Br crystal (GGA-PBE, the Alexandria database).

## Properties
* raw total energy: -3.561 eV per atom
* N(E_F): 1.318 states/eV/f.u.

a b c (Å): 6.5467 5.0820 7.6826
angles (deg): 90.00 100.22 90.00
Fractional coordinates of all 10 atoms:
Ag1 0.1637 0.2500 0.4145
Ag2 0.8363 0.7500 0.5855
As1 0.1301 0.2500 0.8924
As2 0.8699 0.7500 0.1076
S1 0.0992 0.7500 0.3920
S2 0.1322 0.7500 0.9485
S3 0.8678 0.2500 0.0515
S4 0.9008 0.2500 0.6080
Br1 0.4690 0.2500 0.2472
Br2 0.5310 0.7500 0.7528

***

No. 3
# AgSbAs2Br

A relaxed AgSbAs2Br crystal (GGA-PBE, the Alexandria database).

## Properties
* raw total energy: -2.897 eV per atom
* N(E_F): 4.783 states/eV/f.u.
* energy above the lowest structure with this stoichiometry: 0 meV per atom

a b c (Å): 5.1044 5.1044 5.0646
angles (deg): 90.00 90.00 90.00
Fractional coordinates of all 5 atoms:
Ag1 0.0000 0.0000 0.0000
Sb1 0.5000 0.5000 0.5000
As1 0.0000 0.5000 0.0000
As2 0.5000 0.0000 0.0000
Br1 0.0000 0.0000 0.5000

***

No. 4
# AgSbAsBr2

A relaxed AgSbAsBr2 crystal (GGA-PBE, the Alexandria database).

## Properties
* raw total energy: -2.617 eV per atom
* N(E_F): 2.545 states/eV/f.u.
* energy above the lowest structure with this stoichiometry: 0 meV per atom

a b c (Å): 5.5787 5.5787 5.4998
angles (deg): 90.00 90.00 90.00
Fractional coordinates of all 5 atoms:
Ag1 0.0000 0.0000 0.0000
Sb1 0.5000 0.5000 0.5000
As1 0.5000 0.5000 0.0000
Br1 0.0000 0.5000 0.5000
Br2 0.5000 0.0000 0.5000